Entry 1:
DFT (PBE) results for a relaxed structure of TlSiNi2.

## Properties
Formation energy without anion corrections   -4.2 kJ/mol of atoms
Spin magnetization   0.000 μB/atom
Calculated total energy   -4.88 eV/atom
Distance to the lowest polymorph of the same formula   22 meV/atom

```
data_TlSiNi2
_cell_length_a 2.899
_cell_length_b 3.434
_cell_length_c 12.521
_cell_angle_alpha 90.00
_cell_angle_beta 90.00
_cell_angle_gamma 90.00
_space_group_name_H-M_alt 'I m m 2'
_space_group_IT_number 44
loop_
_space_group_symop_operation_xyz
'x,y,z'
'-x,-y,z'
'-x,y,z'
'x,-y,z'
'x+1/2,y+1/2,z+1/2'
'-x+1/2,-y+1/2,z+1/2'
'-x+1/2,y+1/2,z+1/2'
'x+1/2,-y+1/2,z+1/2'
loop_
_atom_site_label
_atom_site_fract_x
_atom_site_fract_y
_atom_site_fract_z
Tl1 0.000 0.000 0.000
Si1 0.000 0.500 0.244
Ni1 0.000 0.000 0.364
Ni2 0.000 0.500 0.692
```


Entry 2:
DFT (PBE) results for a relaxed structure of Na2Mn2CrS4.

## Properties
Formation energy without anion corrections   -66.0 kJ/mol of atoms
Spin magnetization   0.381 μB/atom
Calculated total energy   -5.92 eV/atom

```
data_Na2Mn2CrS4
_cell_length_a 13.146
_cell_length_b 3.381
_cell_length_c 6.942
_cell_angle_alpha 90.00
_cell_angle_beta 106.48
_cell_angle_gamma 90.00
_space_group_name_H-M_alt 'C 1 2/m 1'
_space_group_IT_number 12
loop_
_space_group_symop_operation_xyz
'x,y,z'
'-x,-y,-z'
'-x,y,-z'
'x,-y,z'
'x+1/2,y+1/2,z'
'-x+1/2,-y+1/2,-z'
'-x+1/2,y+1/2,-z'
'x+1/2,-y+1/2,z'
loop_
_atom_site_label
_atom_site_fract_x
_atom_site_fract_y
_atom_site_fract_z
Na1 0.129 0.000 0.047
Mn1 0.171 0.500 0.483
Cr1 0.000 0.000 0.500
S1 0.011 0.500 0.265
S2 0.213 0.000 0.694
```


Entry 3:
DFT (PBE) results for a relaxed structure of BaY4Fe.

## Properties
ΔH_f (0 K)   437 kJ/mol of formula units
Spin magnetization   0.678 μB/atom
Calculated total energy   -5.29 eV/atom

```
data_BaY4Fe
_cell_length_a 9.377
_cell_length_b 9.377
_cell_length_c 9.377
_cell_angle_alpha 90.00
_cell_angle_beta 90.00
_cell_angle_gamma 90.00
_space_group_name_H-M_alt 'F -4 3 m'
_space_group_IT_number 216
_space_group_name_Hall 'F -4 2 3'
loop_
_atom_site_label
_atom_site_fract_x
_atom_site_fract_y
_atom_site_fract_z
Ba1 0.000 0.000 0.000
Y1 0.123 0.123 0.377
Fe1 0.250 0.250 0.750
```


Entry 4:
DFT (PBE) results for a relaxed structure of Si2OsPb.

## Properties
Formation energy without anion corrections   83.5 kJ/mol of atoms
Spin magnetization   0.000 μB/atom
Calculated total energy   -5.58 eV/atom

```
data_Si2OsPb
_cell_length_a 6.532
_cell_length_b 6.532
_cell_length_c 6.532
_cell_angle_alpha 90.00
_cell_angle_beta 90.00
_cell_angle_gamma 90.00
_space_group_name_H-M_alt 'F -4 3 m'
_space_group_IT_number 216
_space_group_name_Hall 'F -4 2 3'
loop_
_atom_site_label
_atom_site_fract_x
_atom_site_fract_y
_atom_site_fract_z
Si1 0.000 0.000 0.000
Si2 0.250 0.250 0.250
Os1 0.250 0.250 0.750
Pb1 0.000 0.000 0.500
```


Entry 5:
DFT (PBE) results for a relaxed structure of Pr2BC.

## Properties
ΔH_f (0 K)   -107 kJ/mol of formula units
Spin magnetization   0.000 μB/atom
Calculated total energy   -6.64 eV/atom
Distance to the lowest polymorph of the same formula   0 meV/atom

```
data_Pr2BC
_cell_length_a 13.523
_cell_length_b 3.695
_cell_length_c 9.670
_cell_angle_alpha 90.00
_cell_angle_beta 131.61
_cell_angle_gamma 90.00
_space_group_name_H-M_alt 'C 1 2/m 1'
_space_group_IT_number 12
loop_
_space_group_symop_operation_xyz
'x,y,z'
'-x,-y,-z'
'-x,y,-z'
'x,-y,z'
'x+1/2,y+1/2,z'
'-x+1/2,-y+1/2,-z'
'-x+1/2,y+1/2,-z'
'x+1/2,-y+1/2,z'
loop_
_atom_site_label
_atom_site_fract_x
_atom_site_fract_y
_atom_site_fract_z
Pr1 0.059 0.000 0.360
Pr2 0.208 0.500 0.119
B1 0.074 0.500 0.607
C1 0.127 0.500 0.802
```


Entry 6:
DFT (PBE) results for a relaxed structure of AcZn2AgPt2.

## Properties
ΔH_f (0 K)   -389 kJ/mol of formula units
Spin magnetization   0.000 μB/atom
Calculated total energy   -4.27 eV/atom

```
data_AcZn2AgPt2
_cell_length_a 4.4411
_cell_length_b 4.4411
_cell_length_c 7.1131
_cell_angle_alpha 90.00
_cell_angle_beta 90.00
_cell_angle_gamma 120.00
_space_group_name_H-M_alt 'P -3 m 1'
_space_group_IT_number 164
_space_group_name_Hall '-P 3 2"'
loop_
_atom_site_label
_atom_site_fract_x
_atom_site_fract_y
_atom_site_fract_z
Ac1 0.0000 0.0000 0.0000
Zn1 0.3333 0.6667 0.3374
Ag1 0.0000 0.0000 0.5000
Pt1 0.3333 0.6667 0.7191
```


Entry 7:
DFT (PBE) results for a relaxed structure of Ac12Tl6Ga.

## Properties
ΔH_f (0 K)   -327 kJ/mol of formula units
Spin magnetization   0.000 μB/atom
Calculated total energy   -3.68 eV/atom

```
data_Ac12Tl6Ga
_cell_length_a 13.1479
_cell_length_b 13.1479
_cell_length_c 15.0412
_cell_angle_alpha 90.00
_cell_angle_beta 90.00
_cell_angle_gamma 120.00
_space_group_name_H-M_alt 'R -3'
_space_group_IT_number 148
_space_group_name_Hall '-R 3'
loop_
_atom_site_label
_atom_site_fract_x
_atom_site_fract_y
_atom_site_fract_z
Ac1 0.0352 0.1949 0.3658
Ac2 0.0447 0.8437 0.8943
Tl1 0.0023 0.4058 0.2337
Ga1 0.0000 0.0000 0.5000
```


Entry 8:
DFT (PBE) results for a relaxed structure of Mn12Cr3Co5.

## Properties
ΔH_f (0 K)   1804 kJ/mol of formula units
Spin magnetization   1.322 μB/atom
Calculated total energy   -7.79 eV/atom

```
data_Mn12Cr3Co5
_cell_length_a 13.451
_cell_length_b 13.451
_cell_length_c 13.451
_cell_angle_alpha 90.00
_cell_angle_beta 90.00
_cell_angle_gamma 90.00
_space_group_name_H-M_alt 'I a -3 d'
_space_group_IT_number 230
_space_group_name_Hall '-I 4bd 2c 3'
loop_
_atom_site_label
_atom_site_fract_x
_atom_site_fract_y
_atom_site_fract_z
Mn1 0.017 0.076 0.650
Cr1 0.000 0.250 0.125
Co1 0.000 0.000 0.000
Co2 0.000 0.250 0.375
```


Entry 9:
DFT (PBE) results for a relaxed structure of Ta2InGa.

## Properties
ΔH_f (0 K)   179 kJ/mol of formula units
Spin magnetization   0.000 μB/atom
Calculated total energy   -6.90 eV/atom
Distance to the lowest polymorph of the same formula   93 meV/atom

```
data_Ta2InGa
_cell_length_a 7.425
_cell_length_b 7.425
_cell_length_c 5.697
_cell_angle_alpha 90.00
_cell_angle_beta 90.00
_cell_angle_gamma 90.00
_space_group_name_H-M_alt 'I -4 2 d'
_space_group_IT_number 122
_space_group_name_Hall 'I -4 2bw'
loop_
_atom_site_label
_atom_site_fract_x
_atom_site_fract_y
_atom_site_fract_z
Ta1 0.232 0.750 0.125
In1 0.000 0.000 0.500
Ga1 0.000 0.000 0.000
```


Entry 10:
DFT (PBE) results for a relaxed structure of RbPm2Sn3Te6.

## Properties
Formation energy without anion corrections   -72.1 kJ/mol of atoms
Spin magnetization   0.000 μB/atom
Calculated total energy   -4.19 eV/atom

```
data_RbPm2Sn3Te6
_cell_length_a 20.060
_cell_length_b 4.493
_cell_length_c 9.501
_cell_angle_alpha 90.00
_cell_angle_beta 103.34
_cell_angle_gamma 90.00
_space_group_name_H-M_alt 'C 1 2/m 1'
_space_group_IT_number 12
loop_
_space_group_symop_operation_xyz
'x,y,z'
'-x,-y,-z'
'-x,y,-z'
'x,-y,z'
'x+1/2,y+1/2,z'
'-x+1/2,-y+1/2,-z'
'-x+1/2,y+1/2,-z'
'x+1/2,-y+1/2,z'
loop_
_atom_site_label
_atom_site_fract_x
_atom_site_fract_y
_atom_site_fract_z
Rb1 0.000 0.000 0.000
Pm1 0.170 0.500 0.350
Sn1 0.000 0.000 0.500
Sn2 0.158 0.500 0.846
Te1 0.011 0.500 0.279
Te2 0.166 0.000 0.593
Te3 0.183 0.000 0.110
```


Entry 11:
DFT (PBE) results for a relaxed structure of Dy2BPd8.

## Properties
ΔH_f (0 K)   -617 kJ/mol of formula units
Spin magnetization   0.000 μB/atom
Calculated total energy   -5.80 eV/atom

```
data_Dy2BPd8
_cell_length_a 14.554
_cell_length_b 4.717
_cell_length_c 5.796
_cell_angle_alpha 90.00
_cell_angle_beta 113.37
_cell_angle_gamma 90.00
_space_group_name_H-M_alt 'C 1 2/m 1'
_space_group_IT_number 12
loop_
_space_group_symop_operation_xyz
'x,y,z'
'-x,-y,-z'
'-x,y,-z'
'x,-y,z'
'x+1/2,y+1/2,z'
'-x+1/2,-y+1/2,-z'
'-x+1/2,y+1/2,-z'
'x+1/2,-y+1/2,z'
loop_
_atom_site_label
_atom_site_fract_x
_atom_site_fract_y
_atom_site_fract_z
Dy1 0.187 0.000 0.187
B1 0.000 0.500 0.500
Pd1 0.000 0.000 0.261
Pd2 0.115 0.500 0.863
Pd3 0.116 0.500 0.370
Pd4 0.186 0.000 0.686
```


Entry 12:
DFT (PBE) results for a relaxed structure of TbPmTe2.

## Properties
Formation energy without anion corrections   -91.0 kJ/mol of atoms
Spin magnetization   0.000 μB/atom
Calculated total energy   -4.86 eV/atom
Distance to the lowest polymorph of the same formula   441 meV/atom

```
data_TbPmTe2
_cell_length_a 4.536
_cell_length_b 6.968
_cell_length_c 9.925
_cell_angle_alpha 90.31
_cell_angle_beta 90.14
_cell_angle_gamma 90.29
_space_group_name_H-M_alt 'P 1'
_space_group_IT_number 1
loop_
_space_group_symop_operation_xyz
'x,y,z'
loop_
_atom_site_label
_atom_site_fract_x
_atom_site_fract_y
_atom_site_fract_z
Tb1 0.000 0.000 0.000
Tb2 0.494 0.493 0.171
Pm1 0.496 0.646 0.757
Pm2 0.994 0.143 0.411
Te1 0.496 0.412 0.486
Te2 0.502 0.271 0.914
Te3 0.997 0.767 0.251
Te4 0.997 0.914 0.683
```


Question: The highest calculated total energy belongs to which entry?
Answer: Ac12Tl6Ga